[1]
# SmHo3Mg6 | Alexandria | PBE | optimized geometry
# DOS at the Fermi energy = 19.5 states/eV per cell
# formation energy = -65 meV per atom
data_SmHo3Mg6
_cell_length_a 9.257
_cell_length_b 5.277
_cell_length_c 11.265
_cell_angle_alpha 90.00
_cell_angle_beta 105.88
_cell_angle_gamma 90.00
_space_group_name_H-M_alt 'P 1 21/m 1'
_space_group_IT_number 11
_space_group_name_Hall '-P 2yb'
loop_
_atom_site_label
_atom_site_type_symbol
_atom_site_fract_x
_atom_site_fract_y
_atom_site_fract_z
Sm1 Sm 0.053 0.250 0.397
Ho1 Ho 0.250 0.250 0.997
Ho2 Ho 0.352 0.750 0.797
Ho3 Ho 0.456 0.250 0.604
Mg1 Mg 0.049 0.750 0.903
Mg2 Mg 0.146 0.250 0.702
Mg3 Mg 0.147 0.750 0.195
Mg4 Mg 0.248 0.750 0.493
Mg5 Mg 0.344 0.250 0.294
Mg6 Mg 0.444 0.750 0.100

=====

[2]
# Sm3Ho2Mg2 | Alexandria | PBE | optimized geometry
# DOS at the Fermi energy = 17.1 states/eV per cell
# formation energy = 41 meV per atom
data_Sm3Ho2Mg2
_cell_length_a 5.298
_cell_length_b 23.272
_cell_length_c 3.476
_cell_angle_alpha 90.00
_cell_angle_beta 90.00
_cell_angle_gamma 90.00
_space_group_name_H-M_alt 'C m m m'
_space_group_IT_number 65
_space_group_name_Hall '-C 2 2'
loop_
_atom_site_label
_atom_site_type_symbol
_atom_site_fract_x
_atom_site_fract_y
_atom_site_fract_z
Sm1 Sm 0.000 0.000 0.000
Sm2 Sm 0.000 0.150 0.000
Ho1 Ho 0.000 0.288 0.500
Mg1 Mg 0.000 0.431 0.500

=====

[3]
# Sm4Ho3Mg | Alexandria | PBE | optimized geometry
# DOS at the Fermi energy = 21.8 states/eV per cell
# formation energy = 181 meV per atom
# excess energy over the best structure of this formula in the dataset = 0.187 eV per atom
data_Sm4Ho3Mg
_cell_length_a 27.727
_cell_length_b 3.616
_cell_length_c 5.271
_cell_angle_alpha 90.00
_cell_angle_beta 92.80
_cell_angle_gamma 90.00
_space_group_name_H-M_alt 'C 1 2/m 1'
_space_group_IT_number 12
_space_group_name_Hall '-C 2y'
loop_
_atom_site_label
_atom_site_type_symbol
_atom_site_fract_x
_atom_site_fract_y
_atom_site_fract_z
Sm1 Sm 0.097 0.000 0.203
Sm2 Sm 0.217 0.000 0.246
Ho1 Ho 0.000 0.500 0.000
Ho2 Ho 0.152 0.500 0.720
Mg1 Mg 0.000 0.000 0.500